[1]
MnFe2Pb | GGA-PBE | optimized geometry

Cell lengths 5.0978, 5.0978, 2.8946 Å; angles 100.80, 100.80, 116.25 degrees
Element x y z (fractional)
1 Mn 0.0000 0.0000 0.0000
2 Fe 0.0000 0.5000 0.5000
3 Fe 0.5000 0.0000 0.5000
4 Pb 0.5000 0.5000 0.0000

Output
E_form ... 0.593 eV per atom
Spin magnetization ... 8.28 μB/cell
Crystal system ... monoclinic

[2]
Ac6GaSi2 | GGA-PBE | optimized geometry

Cell lengths 7.0524, 7.0524, 10.1303 Å; angles 122.96, 122.96, 52.62 degrees
Element x y z (fractional)
1 Ac 0.0791 0.0791 0.3734
2 Ac 0.3359 0.3359 0.3128
3 Ac 0.3444 0.3444 0.9445
4 Ac 0.6556 0.6556 0.0555
5 Ac 0.6641 0.6641 0.6872
6 Ac 0.9209 0.9209 0.6266
7 Ga 0.0000 0.0000 0.0000
8 Si 0.3978 0.3978 0.6701
9 Si 0.6022 0.6022 0.3299

Output
Spin magnetization ... 0.00 μB/cell
Energy relative to the lowest polymorph listed for this composition ... 131 meV per atom
Uncorrected formation energy ... -0.242 eV/atom
Crystal system ... monoclinic

[3]
YCl | GGA-PBE | optimized geometry

Cell lengths 3.5027, 6.3956, 4.9806 Å; angles 90.00, 103.18, 90.00 degrees
Element x y z (fractional)
1 Y 0.2290 0.2500 0.0880
2 Y 0.7710 0.7500 0.9120
3 Cl 0.1419 0.7500 0.4573
4 Cl 0.8581 0.2500 0.5427

Output
Spin magnetization ... 0.00 μB/cell
Uncorrected formation energy ... -1.181 eV/atom
Crystal system ... monoclinic

[4]
Sr2SnBi4 | GGA-PBE | optimized geometry

Cell lengths 7.0963, 7.0604, 6.9210 Å; angles 60.99, 60.47, 58.53 degrees
Element x y z (fractional)
1 Sr 0.0000 0.0000 0.5000
2 Sr 0.5000 0.5000 0.0000
3 Sn 0.0000 0.0000 0.0000
4 Bi 0.0000 0.5000 0.0000
5 Bi 0.0000 0.5000 0.5000
6 Bi 0.5000 0.0000 0.0000
7 Bi 0.5000 0.0000 0.5000

Output
E_form ... -0.462 eV per atom
Spin magnetization ... 0.00 μB/cell
Energy relative to the lowest polymorph listed for this composition ... 0 meV per atom
Crystal system ... orthorhombic